[1]
Material: Zr3Pa
Method: DFT, PBE-GGA
State: relaxed

total DFT energy (no corrections): -34.85 eV/cell
symmetry: I4/mmm (139)
distance to the lowest polymorph of the same formula: 0.0000 eV per atom
total magnetic moment: 0.000 μB per atom

a b c (Å): 4.4759 4.4759 5.6864
angles (deg): 113.18 113.18 90.00
Fractional coordinates of all 4 atoms:
Pa (0.0000, 0.0000, 0.0000)
Zr (0.7500, 0.2500, 0.5000)
Zr (0.2500, 0.7500, 0.5000)
Zr (0.5000, 0.5000, 0.0000)


[2]
Material: Zr5Pa2
Method: DFT, PBE-GGA
State: relaxed

total DFT energy (no corrections): -122.84 eV/cell
symmetry: C2/c (15)
total magnetic moment: 0.000 μB per atom

a b c (Å): 5.8090 7.6352 8.1248
angles (deg): 91.85 90.00 112.36
Fractional coordinates of all 14 atoms:
Zr (0.7242, 0.7105, 0.5305)
Zr (0.0137, 0.2895, 0.9695)
Zr (0.8456, 0.4204, 0.3198)
Zr (0.4252, 0.5796, 0.1802)
Zr (0.1544, 0.5796, 0.6802)
Zr (0.5748, 0.4204, 0.8198)
Zr (0.9863, 0.7105, 0.0305)
Zr (0.2758, 0.2895, 0.4695)
Zr (0.1299, 0.0000, 0.7500)
Zr (0.8701, 0.0000, 0.2500)
Pa (0.6882, 0.1220, 0.6180)
Pa (0.5662, 0.8780, 0.8820)
Pa (0.3118, 0.8780, 0.3820)
Pa (0.4338, 0.1220, 0.1180)


[3]
Material: Zr2Pa
Method: DFT, PBE-GGA
State: relaxed

total DFT energy (no corrections): -26.31 eV/cell
symmetry: I4/mmm (139)
total magnetic moment: 0.000 μB per atom

a b c (Å): 3.5875 3.5875 5.9791
angles (deg): 107.49 107.49 89.98
Fractional coordinates of all 3 atoms:
Pa (0.5000, 0.5000, 0.0000)
Zr (0.1603, 0.1603, 0.3202)
Zr (0.8397, 0.8397, 0.6798)


[4]
Material: Zr3Pa7
Method: DFT, PBE-GGA
State: relaxed

total DFT energy (no corrections): -91.09 eV/cell
symmetry: C2/m (12)
total magnetic moment: 0.000 μB per atom

a b c (Å): 4.4839 6.6455 8.6737
angles (deg): 98.41 104.98 90.00
Fractional coordinates of all 10 atoms:
Zr (0.0000, 0.0000, 0.0000)
Zr (0.7981, 0.4087, 0.5961)
Zr (0.2019, 0.5913, 0.4039)
Pa (0.0000, 0.5000, 0.0000)
Pa (0.8014, 0.9016, 0.6028)
Pa (0.1986, 0.0984, 0.3972)
Pa (0.5978, 0.3032, 0.1955)
Pa (0.4022, 0.6968, 0.8045)
Pa (0.6042, 0.8057, 0.2084)
Pa (0.3958, 0.1943, 0.7916)


Calculated values (kJ/mol of atoms) of calculated formation energy for the records, taken in order: 7.0 4.3 9.2 9.9.